Density functional theory data (PBE) for Tb2GdTc after structural relaxation.

Cell lengths 5.1826, 5.1826, 5.1761 Å; angles 59.96, 59.96, 60.00 degrees
Last column: nearest neighbours and their distance in Å.
Sites, in units of the cell vectors:
Gd: 0.5000 0.5000 0.5000  8 Tb 3.17
Tb: 0.2498 0.2498 0.2505  4 Tc 3.17, 4 Gd 3.17
Tb: 0.7502 0.7502 0.7495  4 Tc 3.17, 4 Gd 3.17
Tc: 0.0000 0.0000 0.0000  8 Tb 3.17

Calculated values
Total moment: 7.29 Bohr magnetons per cell
SG: R-3m (166)
Calculated total energy: -8.21 eV/atom
Energy of formation: 0.22 eV/atom
Crystal system: trigonal


Density functional theory data (PBE) for SiGeN after structural relaxation.

Cell lengths 12.1353, 2.8947, 4.9366 Å; angles 90.00, 90.00, 90.00 degrees
Last column: nearest neighbours and their distance in Å.
Sites, in units of the cell vectors:
Si: 0.1971 0.0000 0.8308  3 N 1.76-1.79
Si: 0.8029 0.0000 0.8308  3 N 1.76-1.79
Si: 0.6971 0.5000 0.3308  3 N 1.76-1.79
Si: 0.3029 0.5000 0.3308  3 N 1.76-1.79
Ge: 0.0000 0.0000 0.9545  2 Si 2.47, 2 Ge 2.65
Ge: 0.5000 0.5000 0.4545  2 Si 2.47, 2 Ge 2.65
Ge: 0.0000 0.5000 0.4031  4 Ge 2.65-2.89
Ge: 0.5000 0.0000 0.9031  4 Ge 2.65-2.89
N: 0.2619 0.0000 0.1559  3 Si 1.76-1.79
N: 0.7381 0.0000 0.1559  3 Si 1.76-1.79
N: 0.7619 0.5000 0.6559  3 Si 1.76-1.79
N: 0.2381 0.5000 0.6559  3 Si 1.76-1.79

Calculated values
Excess energy over the best structure of this formula in the dataset: 0.66 eV/f.u.
Total moment: 0.00 Bohr magnetons per cell
SG: Imm2 (44)
E_form (uncorrected): -22.56 kJ/mol of atoms
Calculated total energy: -6.36 eV/atom
Crystal system: orthorhombic


Density functional theory data (PBE) for Tl2MoAu after structural relaxation.

Cell lengths 3.7581, 4.6477, 4.6477 Å; angles 90.00, 90.00, 90.00 degrees
Last column: nearest neighbours and their distance in Å.
Sites, in units of the cell vectors:
Au: 0.5000 0.5000 0.0000  8 Tl 2.99, 4 Mo 3.29
Mo: 0.5000 0.0000 0.5000  8 Tl 2.99, 4 Au 3.29
Tl: 0.0000 0.0000 0.0000  4 Mo 2.99, 4 Au 2.99, 4 Tl 3.29
Tl: 0.0000 0.5000 0.5000  4 Mo 2.99, 4 Au 2.99, 4 Tl 3.29

Calculated values
Excess energy over the best structure of this formula in the dataset: 0.48 eV/f.u.
Total moment: 0.00 Bohr magnetons per cell
SG: P4/mmm (123)
Calculated total energy: -4.15 eV/atom
Energy of formation: 0.56 eV/atom
Crystal system: tetragonal


Number 1: calculated volume 98 Å³ per cell. Number 2: calculated volume 173 Å³ per cell. Number 3: calculated volume 81 Å³ per cell.